1.
First-principles (GGA-PBE) data for a geometry-optimized GdGa3Fe structure, as listed in Alexandria.

The structure in CIF format:
```
data_GdGa3Fe
_chemical_formula_sum 'Gd1 Ga3 Fe1'
_cell_length_a 4.564
_cell_length_b 4.564
_cell_length_c 4.564
_cell_angle_alpha 90.00
_cell_angle_beta 90.00
_cell_angle_gamma 90.00
_space_group_name_H-M_alt 'P m -3 m'
_space_group_IT_number 221
_space_group_name_Hall '-P 4 2 3'
loop_
_atom_site_label
_atom_site_fract_x
_atom_site_fract_y
_atom_site_fract_z
Gd1 0.000 0.000 0.000
Ga1 0.000 0.500 0.500
Fe1 0.500 0.500 0.500
```

- ΔE_f: -336 meV per atom

2.
First-principles (GGA-PBE) data for a geometry-optimized HfPa2TaN6 structure, as listed in Alexandria.

The structure in CIF format:
```
data_HfPa2TaN6
_chemical_formula_sum 'Hf1 Pa2 Ta1 N6'
_cell_length_a 5.341
_cell_length_b 5.341
_cell_length_c 5.118
_cell_angle_alpha 90.00
_cell_angle_beta 90.00
_cell_angle_gamma 90.00
_space_group_name_H-M_alt 'P 4 m m'
_space_group_IT_number 99
loop_
_space_group_symop_operation_xyz
'x,y,z'
'-y,x,z'
'-x,-y,z'
'y,-x,z'
'-x,y,z'
'y,x,z'
'x,-y,z'
'-y,-x,z'
loop_
_atom_site_label
_atom_site_fract_x
_atom_site_fract_y
_atom_site_fract_z
Hf1 0.000 0.000 0.000
Pa1 0.000 0.500 0.419
Ta1 0.500 0.500 0.009
N1 0.000 0.000 0.605
N2 0.254 0.254 0.172
N3 0.500 0.500 0.633
```

- E: -104.2 eV/cell

3.
First-principles (GGA-PBE) data for a geometry-optimized Tl2Te4Rh3 structure, as listed in Alexandria.

The structure in CIF format:
```
data_Tl2Te4Rh3
_chemical_formula_sum 'Tl8 Te16 Rh12'
_cell_length_a 6.187
_cell_length_b 11.490
_cell_length_c 13.527
_cell_angle_alpha 90.00
_cell_angle_beta 90.00
_cell_angle_gamma 90.00
_space_group_name_H-M_alt 'F m m m'
_space_group_IT_number 69
_space_group_name_Hall '-F 2 2'
loop_
_atom_site_label
_atom_site_fract_x
_atom_site_fract_y
_atom_site_fract_z
Tl1 0.000 0.000 0.123
Te1 0.000 0.161 0.363
Rh1 0.000 0.000 0.500
Rh2 0.250 0.250 0.000
```

- E above lowest polymorph: 0.0339 eV/atom